[1]
# MgInNi2 (PBEsol, optimized geometry)
# energy of formation from the pure elements: -0.11 eV/atom
data_MgInNi2
_symmetry_space_group_name_H-M 'I -4 m 2'
_symmetry_Int_Tables_number 119
_symmetry_space_group_name_Hall 'I -4 -2'
_cell_length_a 3.698
_cell_length_b 3.698
_cell_length_c 8.292
_cell_angle_alpha 90.00
_cell_angle_beta 90.00
_cell_angle_gamma 90.00
loop_
_atom_site_label
_atom_site_type_symbol
_atom_site_fract_x
_atom_site_fract_y
_atom_site_fract_z
Mg1 Mg 0.000 0.000 0.000
In1 In 0.000 0.500 0.750
Ni1 Ni 0.000 0.000 0.500
Ni2 Ni 0.000 0.500 0.250

[2]
# Zn2CrIr (PBEsol, optimized geometry)
# energy of formation from the pure elements: 0.06 eV/atom
data_Zn2CrIr
_symmetry_space_group_name_H-M 'I m m 2'
_symmetry_Int_Tables_number 44
_cell_length_a 2.981
_cell_length_b 4.261
_cell_length_c 8.378
_cell_angle_alpha 90.00
_cell_angle_beta 90.00
_cell_angle_gamma 90.00
loop_
_symmetry_equiv_pos_as_xyz
'x,y,z'
'-x,-y,z'
'-x,y,z'
'x,-y,z'
'x+1/2,y+1/2,z+1/2'
'-x+1/2,-y+1/2,z+1/2'
'-x+1/2,y+1/2,z+1/2'
'x+1/2,-y+1/2,z+1/2'
loop_
_atom_site_label
_atom_site_type_symbol
_atom_site_fract_x
_atom_site_fract_y
_atom_site_fract_z
Zn1 Zn 0.000 0.000 0.000
Zn2 Zn 0.000 0.500 0.254
Cr1 Cr 0.000 0.500 0.755
Ir1 Ir 0.000 0.000 0.496

[3]
# Y2ScTiRu (PBEsol, optimized geometry)
# energy of formation from the pure elements: 0.53 eV/atom
data_Y2ScTiRu
_symmetry_space_group_name_H-M 'P 4/m m m'
_symmetry_Int_Tables_number 123
_symmetry_space_group_name_Hall '-P 4 2'
_cell_length_a 5.291
_cell_length_b 5.291
_cell_length_c 4.402
_cell_angle_alpha 90.00
_cell_angle_beta 90.00
_cell_angle_gamma 90.00
loop_
_atom_site_label
_atom_site_type_symbol
_atom_site_fract_x
_atom_site_fract_y
_atom_site_fract_z
Y1 Y 0.000 0.500 0.000
Sc1 Sc 0.000 0.000 0.500
Ti1 Ti 0.500 0.500 0.000
Ru1 Ru 0.500 0.500 0.500

[4]
# La2ZrAu (PBEsol, optimized geometry)
# energy of formation from the pure elements: -0.13 eV/atom
data_La2ZrAu
_symmetry_space_group_name_H-M 'P m m m'
_symmetry_Int_Tables_number 47
_cell_length_a 3.414
_cell_length_b 5.292
_cell_length_c 5.326
_cell_angle_alpha 90.00
_cell_angle_beta 90.00
_cell_angle_gamma 90.00
loop_
_symmetry_equiv_pos_as_xyz
'x,y,z'
'-x,-y,-z'
'-x,-y,z'
'x,y,-z'
'x,-y,-z'
'-x,y,z'
'-x,y,-z'
'x,-y,z'
loop_
_atom_site_label
_atom_site_type_symbol
_atom_site_fract_x
_atom_site_fract_y
_atom_site_fract_z
La1 La 0.000 0.000 0.000
La2 La 0.500 0.000 0.500
Zr1 Zr 0.000 0.500 0.500
Au1 Au 0.500 0.500 0.000

[5]
# Co2SiIr (PBEsol, optimized geometry)
# raw formation energy: -0.329 eV/atom
data_Co2SiIr
_symmetry_space_group_name_H-M 'I -4 m 2'
_symmetry_Int_Tables_number 119
_symmetry_space_group_name_Hall 'I -4 -2'
_cell_length_a 3.652
_cell_length_b 3.652
_cell_length_c 6.885
_cell_angle_alpha 90.00
_cell_angle_beta 90.00
_cell_angle_gamma 90.00
loop_
_atom_site_label
_atom_site_type_symbol
_atom_site_fract_x
_atom_site_fract_y
_atom_site_fract_z
Co1 Co 0.000 0.000 0.000
Co2 Co 0.000 0.500 0.250
Si1 Si 0.000 0.500 0.750
Ir1 Ir 0.000 0.000 0.500

[6]
# BaAsH3O5 (PBEsol, optimized geometry)
# VASP energy: -5.96 eV/atom
data_BaAsH3O5
_symmetry_space_group_name_H-M 'P b c a'
_symmetry_Int_Tables_number 61
_cell_length_a 7.871
_cell_length_b 8.622
_cell_length_c 14.557
_cell_angle_alpha 90.00
_cell_angle_beta 90.00
_cell_angle_gamma 90.00
loop_
_symmetry_equiv_pos_as_xyz
'x,y,z'
'-x,-y,-z'
'-x+1/2,-y,z+1/2'
'x+1/2,y,-z+1/2'
'x+1/2,-y+1/2,-z'
'-x+1/2,y+1/2,z'
'-x,y+1/2,-z+1/2'
'x,-y+1/2,z+1/2'
loop_
_atom_site_label
_atom_site_type_symbol
_atom_site_fract_x
_atom_site_fract_y
_atom_site_fract_z
Ba1 Ba 0.139 0.185 0.084
As1 As 0.152 0.062 0.385
H1 H 0.050 0.680 0.629
H2 H 0.095 0.601 0.727
H3 H 0.221 0.737 0.808
O1 O 0.011 0.663 0.066
O2 O 0.091 0.613 0.841
O3 O 0.120 0.598 0.659
O4 O 0.183 0.557 0.459
O5 O 0.212 0.168 0.285

[7]
# CsMg2SbAs (PBEsol, optimized geometry)
# raw formation energy: 1.347 eV/atom
data_CsMg2SbAs
_symmetry_space_group_name_H-M 'P 4/m m m'
_symmetry_Int_Tables_number 123
_symmetry_space_group_name_Hall '-P 4 2'
_cell_length_a 5.884
_cell_length_b 5.884
_cell_length_c 5.408
_cell_angle_alpha 90.00
_cell_angle_beta 90.00
_cell_angle_gamma 90.00
loop_
_atom_site_label
_atom_site_type_symbol
_atom_site_fract_x
_atom_site_fract_y
_atom_site_fract_z
Cs1 Cs 0.000 0.000 0.000
Mg1 Mg 0.000 0.500 0.000
Sb1 Sb 0.500 0.500 0.500
As1 As 0.000 0.000 0.500

[8]
# MgCuSiOs2 (PBEsol, optimized geometry)
# raw formation energy: 1.143 eV/atom
data_MgCuSiOs2
_symmetry_space_group_name_H-M 'P 4/m m m'
_symmetry_Int_Tables_number 123
_symmetry_space_group_name_Hall '-P 4 2'
_cell_length_a 4.352
_cell_length_b 4.352
_cell_length_c 4.589
_cell_angle_alpha 90.00
_cell_angle_beta 90.00
_cell_angle_gamma 90.00
loop_
_atom_site_label
_atom_site_type_symbol
_atom_site_fract_x
_atom_site_fract_y
_atom_site_fract_z
Mg1 Mg 0.000 0.000 0.000
Cu1 Cu 0.500 0.500 0.000
Si1 Si 0.000 0.000 0.500
Os1 Os 0.000 0.500 0.500

[9]
# Si3AsPd (PBEsol, optimized geometry)
# raw formation energy: 1.073 eV/atom
data_Si3AsPd
_symmetry_space_group_name_H-M 'P m -3 m'
_symmetry_Int_Tables_number 221
_symmetry_space_group_name_Hall '-P 4 2 3'
_cell_length_a 4.618
_cell_length_b 4.618
_cell_length_c 4.618
_cell_angle_alpha 90.00
_cell_angle_beta 90.00
_cell_angle_gamma 90.00
loop_
_atom_site_label
_atom_site_type_symbol
_atom_site_fract_x
_atom_site_fract_y
_atom_site_fract_z
Si1 Si 0.000 0.000 0.500
As1 As 0.000 0.000 0.000
Pd1 Pd 0.500 0.500 0.500

[10]
# Cs3CdGa (PBEsol, optimized geometry)
# energy of formation from the pure elements: 0.29 eV/atom
data_Cs3CdGa
_symmetry_space_group_name_H-M 'P m -3 m'
_symmetry_Int_Tables_number 221
_symmetry_space_group_name_Hall '-P 4 2 3'
_cell_length_a 6.927
_cell_length_b 6.927
_cell_length_c 6.927
_cell_angle_alpha 90.00
_cell_angle_beta 90.00
_cell_angle_gamma 90.00
loop_
_atom_site_label
_atom_site_type_symbol
_atom_site_fract_x
_atom_site_fract_y
_atom_site_fract_z
Cs1 Cs 0.000 0.000 0.500
Cd1 Cd 0.500 0.500 0.500
Ga1 Ga 0.000 0.000 0.000

[11]
# BaMg2Zn (PBEsol, optimized geometry)
# energy of formation from the pure elements: -0.03 eV/atom
data_BaMg2Zn
_symmetry_space_group_name_H-M 'R -3 m'
_symmetry_Int_Tables_number 166
_symmetry_space_group_name_Hall '-R 3 2"'
_cell_length_a 4.7344
_cell_length_b 4.7344
_cell_length_c 18.4388
_cell_angle_alpha 90.00
_cell_angle_beta 90.00
_cell_angle_gamma 120.00
loop_
_atom_site_label
_atom_site_type_symbol
_atom_site_fract_x
_atom_site_fract_y
_atom_site_fract_z
Ba1 Ba 0.0000 0.0000 0.0000
Mg1 Mg 0.0000 0.0000 0.1994
Zn1 Zn 0.0000 0.0000 0.5000

[12]
# ThSbTe (PBEsol, optimized geometry)
# raw formation energy: -1.064 eV/atom
data_ThSbTe
_symmetry_space_group_name_H-M 'P 4/n m m'
_symmetry_Int_Tables_number 129
_cell_length_a 4.379
_cell_length_b 4.379
_cell_length_c 9.050
_cell_angle_alpha 90.00
_cell_angle_beta 90.00
_cell_angle_gamma 90.00
loop_
_symmetry_equiv_pos_as_xyz
'x,y,z'
'-x,-y,-z'
'-y+1/2,x,z'
'y+1/2,-x,-z'
'-x+1/2,-y+1/2,z'
'x+1/2,y+1/2,-z'
'y,-x+1/2,z'
'-y,x+1/2,-z'
'x+1/2,-y,-z'
'-x+1/2,y,z'
'-y,-x,-z'
'y,x,z'
'-x,y+1/2,-z'
'x,-y+1/2,z'
'y+1/2,x+1/2,-z'
'-y+1/2,-x+1/2,z'
loop_
_atom_site_label
_atom_site_type_symbol
_atom_site_fract_x
_atom_site_fract_y
_atom_site_fract_z
Th1 Th 0.250 0.250 0.232
Sb1 Sb 0.250 0.750 0.500
Te1 Te 0.250 0.250 0.869

Number 1: Fermi-level density of states 4.355 states/eV/cell. Number 2: Fermi-level density of states 5.959 states/eV/cell. Number 3: Fermi-level density of states 4.984 states/eV/cell. Number 4: Fermi-level density of states 4.564 states/eV/cell. Number 5: Fermi-level density of states 10.343 states/eV/cell. Number 6: Fermi-level density of states 0.000 states/eV/cell. Number 7: Fermi-level density of states 3.326 states/eV/cell. Number 8: Fermi-level density of states 5.095 states/eV/cell. Number 9: Fermi-level density of states 2.489 states/eV/cell. Number 10: Fermi-level density of states 2.733 states/eV/cell. Number 11: Fermi-level density of states 8.971 states/eV/cell. Number 12: Fermi-level density of states 2.337 states/eV/cell.